VASP calculation (PBE-GGA) on a relaxed Nd2SmDy5Tm crystal.

Output
Total energy in eV/atom: -4.3643
Space group: I4/mcm (140)

Unit cell a=8.677 b=8.677 c=9.940 alpha=115.88 beta=115.88 gamma=90.00
Atoms (fractional coordinates):
Dy 0.149 0.072 0.721
Dy 0.500 0.500 0.000
Nd 0.118 0.382 0.000
Tm 0.750 0.250 0.500
Dy 0.649 0.149 0.721
Dy 0.000 0.000 0.000
Sm 0.250 0.250 0.500
Dy 0.572 0.649 0.721
Dy 0.072 0.572 0.721
Dy 0.851 0.928 0.279
Nd 0.618 0.118 0.000
Sm 0.750 0.750 0.500
Tm 0.250 0.750 0.500
Dy 0.428 0.351 0.279
Nd 0.882 0.618 0.000
Dy 0.351 0.851 0.279
Dy 0.928 0.428 0.279
Nd 0.382 0.882 0.000

VASP calculation (PBE-GGA) on a relaxed Nd4SmDy2Tm crystal.

Output
Total energy in eV/atom: -4.6672
Space group: P2/m (10)

Unit cell a=3.629 b=6.263 c=11.914 alpha=79.75 beta=90.00 gamma=90.00
Atoms (fractional coordinates):
Nd 0.500 0.750 0.252
Dy 0.000 0.000 0.000
Sm 0.500 0.500 0.000
Tm 0.000 0.500 0.500
Dy 0.500 0.000 0.500
Nd 0.000 0.249 0.252
Nd 0.000 0.751 0.748
Nd 0.500 0.250 0.748

VASP calculation (PBE-GGA) on a relaxed NdSm2Dy2Y4 crystal.

Output
Total energy in eV/atom: -5.4729
Space group: C2/m (12)

Unit cell a=3.624 b=9.566 c=9.625 alpha=115.19 beta=90.00 gamma=100.92
Atoms (fractional coordinates):
Sm 0.852 0.703 0.333
Dy 0.332 0.665 0.999
Sm 0.148 0.297 0.667
Y 0.481 0.962 0.666
Y 0.519 0.038 0.334
Y 0.814 0.629 0.666
Y 0.186 0.371 0.334
Nd 0.000 0.000 0.000
Dy 0.668 0.335 0.001

VASP calculation (PBE-GGA) on a relaxed Nd2SmDy2Y2 crystal.

Output
Total energy in eV/atom: -5.0393
Space group: C2/m (12)

Unit cell a=3.494 b=12.330 c=11.955 alpha=151.07 beta=90.00 gamma=98.15
Atoms (fractional coordinates):
Y 0.409 0.818 0.596
Nd 0.704 0.408 0.041
Nd 0.296 0.592 0.959
Sm 0.000 0.000 0.500
Y 0.591 0.182 0.404
Dy 0.656 0.313 0.241
Dy 0.344 0.687 0.759